No. 1
The following is a DFT calculation (PBE) of a relaxed structure of TmLuScTl.

Properties
**Raw total energy**: -0.163 hartree per atom

abc: 5.282 5.282 5.282
angles: 60.00 60.00 60.00
Each line ends with the local moment (μB).
Element x y z (fractional)
Sc  0.750  0.750  0.750  0.34
Tl  0.000  0.000  0.000  -0.01
Tm  0.250  0.250  0.250  0.24
Lu  0.500  0.500  0.500  0.28

=====

No. 2
The following is a DFT calculation (PBE) of a relaxed structure of YLuScTl.

Properties
**Raw total energy**: -0.182 hartree per atom

abc: 5.330 5.330 5.330
angles: 60.00 60.00 60.00
Each line ends with the local moment (μB).
Element x y z (fractional)
Tl  0.500  0.500  0.500  0.01
Sc  0.000  0.000  0.000  -0.46
Lu  0.250  0.250  0.250  -0.24
Y  0.750  0.750  0.750  -0.20

=====

No. 3
The following is a DFT calculation (PBE) of a relaxed structure of Tm2LuSc.

Properties
**ΔE to the lowest computed polymorph**: 4 meV/atom

abc: 4.832 4.849 4.849
angles: 90.00 90.00 90.00
Element x y z (fractional)
Tm  0.000  0.000  0.500
Sc  0.500  0.000  0.000
Tm  0.000  0.500  0.000
Lu  0.500  0.500  0.500

=====

No. 4
The following is a DFT calculation (PBE) of a relaxed structure of TmLuSc4.

Properties
**Raw total energy**: -0.202 hartree per atom

abc: 6.183 6.183 6.183
angles: 60.00 60.00 60.00
Element x y z (fractional)
Sc  0.625  0.625  0.125
Sc  0.625  0.125  0.625
Sc  0.625  0.625  0.625
Tm  0.250  0.250  0.250
Sc  0.125  0.625  0.625
Lu  0.000  0.000  0.000